DFT (PBE-GGA) results for a geometry-optimized MoAsSeBr2 structure. Values from VASP.

```
&SYSTEM
  ibrav = 0, nat = 5, ntyp = 4
/
ATOMIC_SPECIES
Mo 95.94 Mo.upf
As 74.92 As.upf
Se 78.96 Se.upf
Br 79.90 Br.upf
CELL_PARAMETERS angstrom
5.1679 0.0000 0.0000
0.0000 5.1679 0.0000
0.0000 0.0000 5.3273
ATOMIC_POSITIONS crystal
Mo 0.0000 0.0000 0.0000
As 0.5000 0.5000 0.5000
Se 0.5000 0.5000 0.0000
Br 0.0000 0.5000 0.5000
Br 0.5000 0.0000 0.5000
```

Computed properties:
DOS(E_F)	3.09	states/eV per cell
raw formation energy	0.80	eV per atom
V	142.3	Å³ per cell
energy relative to the lowest polymorph listed for this composition	335	meV/atom
crystal system	tetragonal